Crystalline LaHoGe2Pt5 at its relaxed geometry. Source: Alexandria via LeMat-Bulk, functional PBE.

Structure (POSCAR):
```
LaHoGe2Pt5
1.0
-2.503 -1.613 3.178
1.255 -4.034 -1.059
6.889 0.635 5.748
Ge Pt La Ho
2 5 1 1
Direct
0.500 0.500 0.135
0.500 0.500 0.865
0.000 0.500 0.264
0.000 0.500 0.736
0.500 0.500 0.500
0.500 0.000 0.736
0.500 0.000 0.264
0.000 0.000 0.500
0.000 0.000 0.000
```

Crystal system ... tetragonal
DOS(E_F) ... 0.321 states/eV per atom
Energy relative to the elements ... -0.872 eV per atom
Magnetic moment ... 0.000 μB/atom
V ... 170.6 Å³ per cell
Symmetry ... No. 123